# 1
A plane-wave DFT calculation with GGA-PBE was carried out for crystalline LaReSe2 at its relaxed geometry.

The structure in POSCAR format:
```
LaReSe2
1.0
0.000 3.499 3.499
3.499 0.000 3.499
3.499 3.499 0.000
La Re Se
1 1 2
direct
0.000 0.000 0.000
0.250 0.250 0.250
0.500 0.500 0.500
0.750 0.750 0.750
```

- Symmetry: F-43m (216)
- Formation energy without anion corrections: 0.375 eV per atom
- Energy relative to the lowest polymorph listed for this composition: 1095 meV/atom

=====

# 2
A plane-wave DFT calculation with GGA-PBE was carried out for crystalline LaReSe2 at its relaxed geometry.

The structure in POSCAR format:
```
LaReSe2
1.0
5.595 -1.693 0.000
5.595 1.693 0.000
-2.210 0.000 4.988
La Re Se
1 1 2
direct
0.000 0.000 0.000
0.777 0.777 0.221
0.235 0.235 0.855
0.447 0.447 0.485
```

- Symmetry: Cm (8)
- Formation energy without anion corrections: -0.429 eV per atom
- Energy relative to the lowest polymorph listed for this composition: 290 meV/atom

=====

# 3
A plane-wave DFT calculation with GGA-PBE was carried out for crystalline LaReSe at its relaxed geometry.

The structure in POSCAR format:
```
LaReSe
1.0
0.000 3.261 3.261
3.261 0.000 3.261
3.261 3.261 0.000
La Re Se
1 1 1
direct
0.000 0.000 0.000
0.750 0.750 0.750
0.500 0.500 0.500
```

- Symmetry: F-43m (216)
- Formation energy without anion corrections: 0.265 eV per atom
- Energy relative to the lowest polymorph listed for this composition: 464 meV/atom

=====

# 4
A plane-wave DFT calculation with GGA-PBE was carried out for crystalline LaRe4Se at its relaxed geometry.

The structure in POSCAR format:
```
LaRe4Se
1.0
0.000 3.831 3.831
3.831 0.000 3.831
3.831 3.831 0.000
La Re Se
1 4 1
direct
0.000 0.000 0.000
0.128 0.624 0.624
0.624 0.128 0.624
0.624 0.624 0.128
0.624 0.624 0.624
0.250 0.250 0.250
```

- Symmetry: F-43m (216)
- Formation energy without anion corrections: 0.537 eV per atom

=====

# 5
A plane-wave DFT calculation with GGA-PBE was carried out for crystalline LaReSe at its relaxed geometry.

The structure in POSCAR format:
```
LaReSe
1.0
-1.639 1.639 5.825
1.639 -1.639 5.825
1.639 1.639 -5.825
La Re Se
1 1 1
direct
0.000 0.000 0.000
0.311 0.311 0.000
0.708 0.708 0.000
```

- Symmetry: I4mm (107)
- Formation energy without anion corrections: -0.091 eV per atom
- Energy relative to the lowest polymorph listed for this composition: 107 meV/atom

=====

# 6
A plane-wave DFT calculation with GGA-PBE was carried out for crystalline LaReSiSe2 at its relaxed geometry.

The structure in POSCAR format:
```
LaReSiSe2
1.0
4.765 0.000 0.000
0.000 4.765 0.000
0.000 0.000 5.871
La Re Si Se
1 1 1 2
direct
0.000 0.000 0.000
0.000 0.000 0.500
0.500 0.500 0.000
0.000 0.500 0.500
0.500 0.000 0.500
```

- Symmetry: P4/mmm (123)
- Formation energy without anion corrections: 0.279 eV per atom

=====

# 7
A plane-wave DFT calculation with GGA-PBE was carried out for crystalline LaReTcSe2 at its relaxed geometry.

The structure in POSCAR format:
```
LaReTcSe2
1.0
5.511 0.000 0.000
0.000 5.511 0.000
0.000 0.000 4.984
La Re Tc Se
1 1 1 2
direct
0.000 0.000 0.000
0.000 0.000 0.500
0.500 0.500 0.500
0.000 0.500 0.000
0.500 0.000 0.000
```

- Symmetry: P4/mmm (123)
- Formation energy without anion corrections: 2.131 eV per atom

=====

# 8
A plane-wave DFT calculation with GGA-PBE was carried out for crystalline LaReSi2 at its relaxed geometry.

The structure in POSCAR format:
```
LaReSi2
1.0
-2.126 2.126 4.104
2.126 -2.126 4.104
2.126 2.126 -4.104
La Re Si
1 1 2
direct
0.000 0.000 0.000
0.250 0.750 0.500
0.500 0.500 0.000
0.750 0.250 0.500
```

- Symmetry: I-4m2 (119)
- Formation energy without anion corrections: 0.422 eV per atom